The following is a PBE-GGA calculation of an optimized crystal structure of Sm6AgIr2I3, from Alexandria.

Summary:
Formation energy without anion corrections in kcal/mol of atoms: -19.46
Space-group type: No. 12

Geometry as CIF:
```
data_Sm6AgIr2I3
_chemical_formula_sum 'Sm6 Ag1 Ir2 I3'
_space_group_name_H-M_alt 'P 1'
_space_group_IT_number 1
_space_group_name_Hall 'P 1'
_cell_length_a 7.336
_cell_length_b 7.336
_cell_length_c 8.411
_cell_angle_alpha 98.35
_cell_angle_beta 98.35
_cell_angle_gamma 119.99
loop_
_atom_site_label
_atom_site_fract_x
_atom_site_fract_y
_atom_site_fract_z
_atom_site_occupancy
Sm1 0.079 0.437 0.812 1
Sm2 0.205 0.205 0.187 1
Sm3 0.437 0.079 0.812 1
Sm4 0.563 0.921 0.188 1
Sm5 0.795 0.795 0.813 1
Sm6 0.921 0.563 0.188 1
Ag1 0.500 0.500 0.000 1
Ir1 0.167 0.833 0.000 1
Ir2 0.833 0.167 0.000 1
I1 0.000 0.000 0.500 1
I2 0.335 0.665 0.500 1
I3 0.665 0.335 0.500 1
```